Entry 1:
Density functional theory data (GGA-PBE) for KSrRe2 after structural relaxation.

Lattice parameters (Å, degrees): 3.087 3.916 9.884 90.00 95.79 90.00
Element x y z (fractional)
K 0.000 0.000 0.000
Sr 0.452 0.500 0.583
Re 0.528 0.500 0.273
Re 0.961 0.000 0.350

Summary:
DOS at the Fermi energy   3.63 states/eV/cell
Calculated formation energy   0.7293 eV per atom
ΔE to the lowest computed polymorph   98 meV per atom

Entry 2:
Density functional theory data (GGA-PBE) for KSrRe2 after structural relaxation.

Lattice parameters (Å, degrees): 7.268 4.194 9.518 90.00 104.48 90.00
Element x y z (fractional)
K 0.000 0.000 0.000
K 0.500 0.500 0.000
Sr 0.324 0.500 0.463
Sr 0.824 0.000 0.463
Re 0.066 0.500 0.694
Re 0.243 0.000 0.725
Re 0.566 0.000 0.694
Re 0.743 0.500 0.725

Summary:
DOS at the Fermi energy   4.38 states/eV/cell
Calculated formation energy   0.6317 eV per atom
ΔE to the lowest computed polymorph   0 meV per atom

Entry 3:
Density functional theory data (GGA-PBE) for K2SrRe after structural relaxation.

Lattice parameters (Å, degrees): 3.626 3.626 12.210 90.00 90.00 90.00
Element x y z (fractional)
K 0.000 0.000 0.000
K 0.500 0.500 0.341
Sr 0.500 0.500 0.686
Re 0.000 0.000 0.533

Summary:
DOS at the Fermi energy   3.75 states/eV/cell
Calculated formation energy   1.1027 eV per atom
ΔE to the lowest computed polymorph   0 meV per atom